! PBE Pm6HoTh2, relaxed; values from VASP
&SYSTEM
  ibrav = 0, nat = 9, ntyp = 3
/
ATOMIC_SPECIES
Pm 145.00 Pm.upf
Ho 164.93 Ho.upf
Th 232.04 Th.upf
CELL_PARAMETERS angstrom
3.608 0.000 0.000
-1.804 3.125 0.000
0.000 0.000 26.949
ATOMIC_POSITIONS crystal
Pm 0.667 0.333 0.893
Pm 0.333 0.667 0.437
Pm 0.333 0.667 0.780
Pm 0.333 0.667 0.220
Pm 0.333 0.667 0.563
Pm 0.667 0.333 0.107
Ho 0.333 0.667 0.000
Th 0.667 0.333 0.329
Th 0.667 0.333 0.671
! * calculated volume: 303.9 Å³ per cell
! * VASP energy: -5.254 eV per atom
! * total magnetization: 0.000 μB per cell
! * space group: P-6m2, No. 187



! PBE Pm5Ho12Th2, relaxed; values from VASP
&SYSTEM
  ibrav = 0, nat = 19, ntyp = 3
/
ATOMIC_SPECIES
Pm 145.00 Pm.upf
Ho 164.93 Ho.upf
Th 232.04 Th.upf
CELL_PARAMETERS angstrom
9.378 0.000 0.000
-4.689 7.699 1.130
0.000 -1.607 8.482
ATOMIC_POSITIONS crystal
Pm 0.231 0.462 0.570
Pm 0.297 0.594 0.979
Pm 0.000 0.000 0.500
Pm 0.703 0.406 0.021
Pm 0.769 0.538 0.430
Ho 0.925 0.850 0.123
Ho 0.030 0.704 0.759
Ho 0.674 0.704 0.759
Ho 0.181 0.742 0.334
Ho 0.562 0.742 0.334
Ho 0.442 0.885 0.669
Ho 0.558 0.115 0.331
Ho 0.819 0.258 0.666
Ho 0.438 0.258 0.666
Ho 0.970 0.296 0.241
Ho 0.326 0.296 0.241
Ho 0.075 0.150 0.877
Th 0.673 0.000 0.000
Th 0.327 0.000 0.000
! * calculated volume: 629.4 Å³ per cell
! * VASP energy: -4.779 eV per atom
! * total magnetization: 0.000 μB per cell
! * space group: C2/m, No. 12